Record 1
# TaCI (GGA-PBE, relaxed)
data_TaCI
_chemical_formula_sum 'Ta4 C4 I4'
_space_group_name_H-M_alt 'C 1 m 1'
_space_group_IT_number 8
_cell_length_a 6.229
_cell_length_b 4.582
_cell_length_c 10.836
_cell_angle_alpha 90.00
_cell_angle_beta 104.66
_cell_angle_gamma 90.00
loop_
_space_group_symop_operation_xyz
'x,y,z'
'x,-y,z'
'x+1/2,y+1/2,z'
'x+1/2,-y+1/2,z'
loop_
_atom_site_label
_atom_site_type_symbol
_atom_site_fract_x
_atom_site_fract_y
_atom_site_fract_z
Ta1 Ta 0.000 0.000 0.000
Ta2 Ta 0.183 0.500 0.161
C1 C 0.344 0.164 0.081
I1 I 0.066 0.500 0.805
I2 I 0.316 0.500 0.414
# Density of states at the Fermi level   0.48 states/eV per cell
# Raw formation energy   -0.19 eV per atom

Record 2
# CaH8PtRh4 (GGA-PBE, relaxed)
data_CaH8PtRh4
_chemical_formula_sum 'Ca3 H24 Pt3 Rh12'
_space_group_name_H-M_alt 'R 3 m'
_space_group_IT_number 160
_space_group_name_Hall 'R 3 -2"'
_cell_length_a 5.6738
_cell_length_b 5.6738
_cell_length_c 13.7620
_cell_angle_alpha 90.00
_cell_angle_beta 90.00
_cell_angle_gamma 120.00
loop_
_atom_site_label
_atom_site_type_symbol
_atom_site_fract_x
_atom_site_fract_y
_atom_site_fract_z
Ca1 Ca 0.0000 0.0000 0.0000
H1 H 0.0000 0.0000 0.3839
H2 H 0.0000 0.0000 0.8424
H3 H 0.0601 0.5300 0.8336
H4 H 0.0912 0.5456 0.3817
Pt1 Pt 0.0000 0.0000 0.6164
Rh1 Rh 0.0000 0.0000 0.2483
Rh2 Rh 0.0053 0.5026 0.1240
# Density of states at the Fermi level   8.92 states/eV per cell
# Total DFT energy (no corrections)   -199.1 eV per cell

Record 3
# NaSr2Nd (GGA-PBE, relaxed)
data_NaSr2Nd
_chemical_formula_sum 'Na3 Sr6 Nd3'
_space_group_name_H-M_alt 'R -3 m'
_space_group_IT_number 166
_space_group_name_Hall '-R 3 2"'
_cell_length_a 3.8480
_cell_length_b 3.8480
_cell_length_c 42.0687
_cell_angle_alpha 90.00
_cell_angle_beta 90.00
_cell_angle_gamma 120.00
loop_
_atom_site_label
_atom_site_type_symbol
_atom_site_fract_x
_atom_site_fract_y
_atom_site_fract_z
Na1 Na 0.0000 0.0000 0.0000
Sr1 Sr 0.0000 0.0000 0.4130
Nd1 Nd 0.0000 0.0000 0.5000
# Density of states at the Fermi level   14.99 states/eV per cell
# E_form   1.136 eV per formula unit

Record 4
# Cs3Sc2Cl9 (GGA-PBE, relaxed)
data_Cs3Sc2Cl9
_chemical_formula_sum 'Cs18 Sc12 Cl54'
_space_group_name_H-M_alt 'R -3 c'
_space_group_IT_number 167
_space_group_name_Hall '-R 3 2"c'
_cell_length_a 12.9758
_cell_length_b 12.9758
_cell_length_c 18.8593
_cell_angle_alpha 90.00
_cell_angle_beta 90.00
_cell_angle_gamma 120.00
loop_
_atom_site_label
_atom_site_type_symbol
_atom_site_fract_x
_atom_site_fract_y
_atom_site_fract_z
Cs1 Cs 0.0000 0.3390 0.2500
Sc1 Sc 0.0000 0.0000 0.1558
Cl1 Cl 0.0000 0.1491 0.7500
Cl2 Cl 0.0030 0.1650 0.4053
# Density of states at the Fermi level   0.00 states/eV per cell
# Raw formation energy   -2.14 eV per atom

Record 5
# CaRe2Br (GGA-PBE, relaxed)
data_CaRe2Br
_chemical_formula_sum 'Ca4 Re8 Br4'
_space_group_name_H-M_alt 'F m -3 m'
_space_group_IT_number 225
_space_group_name_Hall '-F 4 2 3'
_cell_length_a 6.597
_cell_length_b 6.597
_cell_length_c 6.597
_cell_angle_alpha 90.00
_cell_angle_beta 90.00
_cell_angle_gamma 90.00
loop_
_atom_site_label
_atom_site_type_symbol
_atom_site_fract_x
_atom_site_fract_y
_atom_site_fract_z
Ca1 Ca 0.000 0.000 0.000
Re1 Re 0.250 0.250 0.250
Br1 Br 0.000 0.000 0.500
# Density of states at the Fermi level   19.90 states/eV per cell
# Raw formation energy   1.78 eV per atom

> What is the density of states at the Fermi level in the third record?

14.99 states/eV per cell

> The highest density of states at the Fermi level belongs to which entry?

CaRe2Br